Entry 1:
## NiTeIrRu (PBE)

Data for NiTeIrRu after structural relaxation.

Calculated values
DFT total energy (eV per atom): -6.446
Space group: Cm
V (Å³ per atom): 15.54

Lattice parameters (Å, degrees): 5.300 5.300 4.538 115.26 115.26 33.00
Element x y z (fractional)
Ni 0.000 0.000 0.000
Te 0.778 0.778 0.454
Ir 0.538 0.538 0.533
Ru 0.267 0.267 0.979


Entry 2:
## NiTeIrRu (PBE)

Data for NiTeIrRu after structural relaxation.

Calculated values
DFT total energy (eV per atom): -6.478
Space group: Cm
V (Å³ per atom): 15.44

Lattice parameters (Å, degrees): 4.531 4.531 4.840 100.70 100.70 39.33
Element x y z (fractional)
Ni 0.000 0.000 0.000
Te 0.502 0.502 0.508
Ir 0.745 0.745 0.220
Ru 0.252 0.252 0.762


Entry 3:
## NiTeIrRu (PBE)

Data for NiTeIrRu after structural relaxation.

Calculated values
DFT total energy (eV per atom): -6.399
Space group: Cm
V (Å³ per atom): 15.53

Lattice parameters (Å, degrees): 4.753 4.753 3.987 108.34 108.34 47.26
Element x y z (fractional)
Ni 0.000 0.000 0.000
Te 0.779 0.779 0.327
Ir 0.532 0.532 0.553
Ru 0.272 0.272 0.880


Entry 4:
## NiTeIrRu (PBE)

Data for NiTeIrRu after structural relaxation.

Calculated values
DFT total energy (eV per atom): -6.407
Space group: Imm2
V (Å³ per atom): 15.24

Lattice parameters (Å, degrees): 4.765 4.765 4.765 130.68 130.52 72.45
Element x y z (fractional)
Ni 0.000 0.000 0.000
Te 0.751 0.251 0.500
Ir 0.251 0.751 0.500
Ru 0.501 0.501 0.000


Entry 5:
## NiTeIrRu (PBE)

Data for NiTeIrRu after structural relaxation.

Calculated values
DFT total energy (eV per atom): -6.357
Space group: Pm
V (Å³ per atom): 16.05

Lattice parameters (Å, degrees): 4.072 3.051 5.216 90.00 97.82 90.00
Element x y z (fractional)
Ni 0.000 0.000 0.000
Te 0.822 0.000 0.529
Ir 0.487 0.500 0.906
Ru 0.298 0.500 0.366


Entry 6:
## NiTeIrRu (PBE)

Data for NiTeIrRu after structural relaxation.

Calculated values
DFT total energy (eV per atom): -6.450
Space group: Cm
V (Å³ per atom): 15.68

Lattice parameters (Å, degrees): 4.522 4.522 4.944 90.02 90.02 38.35
Element x y z (fractional)
Ni 0.000 0.000 0.000
Te 0.001 0.001 0.501
Ir 0.277 0.277 0.218
Ru 0.721 0.721 0.756


Magnetization for the records above, in order: 0.000; 0.001; 0.000; 0.437; 0.000; 0.000 Bohr magnetons per cell
Energy above the lowest structure with this stoichiometry for the records above, in order: 0.21; 0.08; 0.39; 0.37; 0.56; 0.19 eV/f.u.